# YZr4P SCAN PBEsol geometry
data_YZr4P
_space_group_name_H-M_alt 'F -4 3 m'
_space_group_IT_number 216
_space_group_name_Hall 'F -4 2 3'
_cell_length_a 8.116
_cell_length_b 8.116
_cell_length_c 8.116
_cell_angle_alpha 90.00
_cell_angle_beta 90.00
_cell_angle_gamma 90.00
loop_
_atom_site_label
_atom_site_fract_x
_atom_site_fract_y
_atom_site_fract_z
Y1 0.000 0.000 0.000
Zr1 0.128 0.128 0.372
P1 0.250 0.250 0.750
# E_form: 0.4138 eV/atom
# total energy: -26.43 eV per atom